16
Lattice="-3.106 2.000 -2.680 -3.340 -2.030 2.357 -0.305 6.807 5.432" Properties=species:S:1:pos:R:3 comment="RbMg6SiO8 | the Alexandria database | PBE | relaxed" de_polymorph_ev_per_atom=0.090 formation_energy_uncorrected_ev_per_atom=-1.926 pbc="T T T"
O -1.706 4.403 1.376
O -1.823 2.388 3.894
O -1.553 1.000 -1.340
O -3.309 1.901 1.368
O -0.070 1.574 1.256
O -1.670 -1.015 1.178
O -0.234 5.233 4.176
O -3.442 4.875 3.741
Rb -3.223 -0.015 -0.162
Mg -3.376 3.388 2.554
Mg -1.898 4.063 5.230
Mg -1.748 0.714 2.558
Mg -0.152 3.403 2.716
Mg -1.631 2.729 0.040
Mg -1.781 6.078 2.712
Si 0.000 0.000 0.000

11
Lattice="5.736 0.000 0.000 2.868 4.967 0.000 2.868 1.656 6.098" Properties=species:S:1:pos:R:3 comment="Rb2MgSi2O6 | the Alexandria database | PBE | relaxed" formation_energy_uncorrected_ev_per_atom=-2.289 pbc="T T T"
O 7.108 4.104 1.275
O 4.363 2.519 4.822
O 5.736 1.726 1.275
O 4.363 4.104 1.275
O 7.108 2.519 4.822
O 5.736 4.896 4.822
Si 5.736 3.311 1.227
Si 5.736 3.311 4.871
Rb 8.603 4.967 3.764
Rb 2.868 1.656 2.333
Mg 0.000 0.000 0.000

5
Lattice="-5.089 1.230 -3.389 1.468 -1.943 -2.910 -2.679 -5.213 2.130" Properties=species:S:1:pos:R:3 comment="Rb2MgSiO | the Alexandria database | PBE | relaxed" formation_energy_uncorrected_ev_per_atom=-0.394 pbc="T T T"
Mg 0.734 -0.972 -1.455
Si -3.150 -2.963 -2.084
O 0.000 0.000 0.000
Rb -2.544 0.615 -1.694
Rb -1.339 -2.607 1.065

12
Lattice="3.656 0.000 0.000 0.000 7.806 0.261 0.000 -2.782 8.366" Properties=species:S:1:pos:R:3 comment="RbSmMgO3 | the Alexandria database | PBE | relaxed" formation_energy_uncorrected_ev_per_atom=-2.510 pbc="T T T"
O 2.742 3.227 1.166
O 2.742 -0.382 4.771
O 0.914 5.407 3.857
O 0.914 -1.243 7.078
O 2.742 6.268 1.549
O 0.914 1.797 7.461
Sm 0.914 4.744 1.375
Sm 2.742 0.281 7.253
Mg 0.914 -1.081 5.122
Mg 2.742 6.105 3.505
Rb 0.914 0.942 1.655
Rb 2.742 4.083 6.973

5
Lattice="-0.379 -4.123 -1.388 4.092 0.810 -3.521 2.865 -1.285 3.035" Properties=species:S:1:pos:R:3 comment="RbMg2TaO | the Alexandria database | PBE | relaxed" formation_energy_uncorrected_ev_per_atom=0.392 pbc="T T T"
Rb 2.046 0.405 -1.761
Mg -0.189 -2.062 -0.694
Mg 1.433 -0.642 1.517
O 0.000 0.000 0.000
Ta 3.289 -2.299 -0.937

8
Lattice="5.883 -0.057 -0.088 -2.559 5.297 0.088 -2.559 -2.051 4.885" Properties=species:S:1:pos:R:3 comment="Rb2MgTaO4 | the Alexandria database | PBE | relaxed" formation_energy_uncorrected_ev_per_atom=-2.184 pbc="T T T"
Rb 0.000 0.000 0.000
Rb 0.383 3.431 1.243
O 1.588 0.731 2.384
O 3.309 2.354 0.641
O -1.527 0.190 3.256
O -1.839 3.102 3.489
Ta -2.559 1.623 2.486
Mg 0.383 -0.243 3.642

12
Lattice="-3.568 -0.191 0.445 -0.841 -1.563 -7.422 1.031 -7.839 4.895" Properties=species:S:1:pos:R:3 comment="RbTbMgO3 | the Alexandria database | PBE | relaxed" formation_energy_uncorrected_ev_per_atom=-2.560 pbc="T T T"
Mg -3.066 -4.629 -4.722
Mg -0.313 -4.964 2.640
Rb -2.507 -7.785 -1.599
Rb -0.872 -1.808 -0.483
O -1.176 -4.620 -4.132
O -2.947 -1.802 -2.550
O -3.247 -2.776 -5.375
O -2.203 -4.973 2.050
O -0.132 -6.818 3.294
O -0.432 -7.791 0.468
Tb -2.068 -7.412 2.087
Tb -1.311 -2.181 -4.169

12
Lattice="5.576 -0.020 0.000 2.554 4.957 0.000 0.371 0.225 8.208" Properties=species:S:1:pos:R:3 comment="RbMgTc2O8 | the Alexandria database | PBE | relaxed" formation_energy_uncorrected_ev_per_atom=-1.741 pbc="T T T"
O 4.818 1.225 6.760
O 3.683 3.937 1.447
O 5.192 1.452 1.447
O 6.462 3.924 0.660
O 2.773 1.683 4.812
O 2.039 1.238 7.547
O 3.309 3.710 6.760
O 5.728 3.478 3.395
Tc 5.273 3.202 1.731
Tc 3.228 1.960 6.476
Mg 0.000 0.000 0.000
Rb 0.185 0.113 4.104